Entry 1:
DFT (GGA-PBE) results for a relaxed LaHf2Se crystal.

abc: 4.3096 4.3096 20.8027
angles: 90.00 90.00 90.00
Closest atoms and distances in Å follow each position.
Space group I-42d (No. 122)
Symmetry-distinct sites (fractional):
La (0.0000, 0.0000, 0.0000)  4 Hf 3.04, 4 Se 3.05
Hf (0.2311, 0.2500, 0.6250)  4 Hf 2.93-3.16, 2 Se 2.99, 2 La 3.04
Se (0.0000, 0.0000, 0.5000)  4 Hf 2.99, 4 La 3.05

Properties
The electronic total energy comes out at -116.2 eV per cell. Its uncorrected formation energy is -0.7 eV per formula unit.

***

Entry 2:
DFT (GGA-PBE) results for a relaxed ZnAg2Rh crystal.

abc: 2.9420 4.6823 9.3511
angles: 90.00 90.00 90.00
Closest atoms and distances in Å follow each position.
Space group Cmmm (No. 65)
Symmetry-distinct sites (fractional):
Zn (0.0000, 0.0000, 0.0000)  4 Ag 2.73, 6 Zn 2.76-2.94
Ag (0.0000, 0.5000, 0.2459)  2 Zn 2.73, 6 Ag 2.76-2.94, 2 Rh 2.79
Rh (0.0000, 0.0000, 0.5000)  6 Rh 2.76-2.94, 4 Ag 2.79

Properties
The electronic total energy comes out at -27.4 eV per cell. For the energy of formation, the calculation gives 0.605 eV per formula unit.

***

Entry 3:
DFT (GGA-PBE) results for a relaxed VCrOs2 crystal.

abc: 3.0312 3.0312 5.9519
angles: 90.00 90.00 90.00
Closest atoms and distances in Å follow each position.
Space group P4/mmm (No. 123)
Symmetry-distinct sites (fractional):
V (0.0000, 0.0000, 0.0000)  8 Os 2.61
Cr (0.0000, 0.0000, 0.5000)  8 Os 2.61
Os (0.5000, 0.5000, 0.2490)  4 V 2.61, 4 Cr 2.61

Properties
The electronic total energy comes out at -41.3 eV per cell. The value obtained for the offset from the most stable computed form is 3 meV/atom. For the energy of formation, the calculation gives -0.081 eV per formula unit.

***

Entry 4:
DFT (GGA-PBE) results for a relaxed TePbO4 crystal.

abc: 15.0134 3.9680 7.7442
angles: 90.00 112.06 90.00
Closest atoms and distances in Å follow each position.
Space group C2/m (No. 12)
Symmetry-distinct sites (fractional):
Te (0.1001, 0.0000, 0.1689)  6 O 1.85-2.03
Pb (0.1822, 0.0000, 0.7466)  3 O 2.32-2.39
O (0.0410, 0.0000, 0.8858)  2 Te 2.00-2.03
O (0.1179, 0.5000, 0.1579)  2 Te 2.01
O (0.1322, 0.0000, 0.4243)  1 Te 1.85
O (0.2246, 0.0000, 0.1434)  1 Te 1.95

Properties
The electronic total energy comes out at -130.2 eV per cell. The value obtained for the offset from the most stable computed form is 77 meV/atom. Its uncorrected formation energy is -5.9 eV per formula unit.